AcPmPd3: relaxed, GGA-PBE.

abc: 13.795 13.795 4.466
angles: 90.00 90.00 163.23
Positions (direct):
Ac: 0.073 0.927 0.750
Ac: 0.927 0.073 0.250
Pm: 0.205 0.795 0.250
Pm: 0.795 0.205 0.750
Pd: 0.313 0.687 0.250
Pd: 0.374 0.626 0.750
Pd: 0.472 0.528 0.750
Pd: 0.528 0.472 0.250
Pd: 0.626 0.374 0.250
Pd: 0.687 0.313 0.750

Energy relative to the elements   -811 meV/atom
Raw total energy   -56.983 eV/cell
Calculated density   9.4 g/cm³
Space group   Cmcm (63)
Magnetic moment   0.00 μB/cell

---

AcPmPd10: relaxed, GGA-PBE.

abc: 4.508 5.401 9.363
angles: 90.00 90.00 90.00
Positions (direct):
Ac: 0.000 0.000 0.000
Pm: 0.000 0.500 0.500
Pd: 0.000 0.000 0.340
Pd: 0.000 0.000 0.660
Pd: 0.000 0.500 0.174
Pd: 0.000 0.500 0.826
Pd: 0.500 0.000 0.500
Pd: 0.500 0.251 0.253
Pd: 0.500 0.251 0.747
Pd: 0.500 0.500 0.000
Pd: 0.500 0.749 0.253
Pd: 0.500 0.749 0.747

Energy relative to the elements   -549 meV/atom
Raw total energy   -67.372 eV/cell
Calculated density   10.5 g/cm³
Space group   Pmmm (47)
Magnetic moment   0.00 μB/cell

---

AcPm2Pd4: relaxed, GGA-PBE.

abc: 10.036 10.036 10.036
angles: 156.95 154.39 34.72
Positions (direct):
Ac: 0.000 0.000 0.000
Pm: 0.314 0.814 0.500
Pm: 0.686 0.186 0.500
Pd: 0.159 0.659 0.500
Pd: 0.429 0.429 0.000
Pd: 0.571 0.571 0.000
Pd: 0.841 0.341 0.500

Energy relative to the elements   -825 meV/atom
Raw total energy   -40.157 eV/cell
Calculated density   9.2 g/cm³
Space group   Immm (71)
Magnetic moment   0.00 μB/cell

---

Ac2PmPd4: relaxed, GGA-PBE.

abc: 5.435 5.435 8.212
angles: 114.14 114.14 65.78
Positions (direct):
Ac: 0.225 0.225 0.328
Ac: 0.775 0.775 0.672
Pm: 0.500 0.500 0.000
Pd: 0.000 0.500 0.000
Pd: 0.146 0.146 0.665
Pd: 0.500 0.000 0.000
Pd: 0.854 0.854 0.335

Energy relative to the elements   -575 meV/atom
Raw total energy   -37.763 eV/cell
Calculated density   8.8 g/cm³
Space group   C2/m (12)
Magnetic moment   0.00 μB/cell

---

Ac3Pm4Pd4: relaxed, GGA-PBE.

abc: 9.418 9.418 9.418
angles: 149.75 129.99 59.57
Positions (direct):
Ac: 0.000 0.000 0.000
Ac: 0.395 0.895 0.500
Ac: 0.605 0.105 0.500
Pm: 0.041 0.326 0.715
Pm: 0.389 0.674 0.715
Pm: 0.611 0.326 0.285
Pm: 0.959 0.674 0.285
Pd: 0.208 0.208 0.000
Pd: 0.314 0.500 0.814
Pd: 0.686 0.500 0.186
Pd: 0.792 0.792 0.000

Energy relative to the elements   -523 meV/atom
Raw total energy   -57.854 eV/cell
Calculated density   8.8 g/cm³
Space group   Immm (71)
Magnetic moment   0.00 μB/cell

---

AcPm2Pd: relaxed, GGA-PBE.

abc: 5.557 5.557 3.865
angles: 90.00 90.00 90.00
Positions (direct):
Ac: 0.000 0.000 0.000
Pm: 0.000 0.500 0.500
Pm: 0.500 0.000 0.500
Pd: 0.500 0.500 0.000

Energy relative to the elements   -28 meV/atom
Raw total energy   -18.913 eV/cell
Calculated density   8.7 g/cm³
Space group   P4/mmm (123)
Magnetic moment   0.00 μB/cell

---

AcPm2Pd3: relaxed, GGA-PBE.

abc: 3.672 3.672 10.980
angles: 90.00 90.00 90.00
Positions (direct):
Ac: 0.000 0.000 0.000
Pm: 0.000 0.000 0.339
Pm: 0.000 0.000 0.661
Pd: 0.500 0.500 0.187
Pd: 0.500 0.500 0.500
Pd: 0.500 0.500 0.813

Energy relative to the elements   -737 meV/atom
Raw total energy   -33.610 eV/cell
Calculated density   9.4 g/cm³
Space group   P4/mmm (123)
Magnetic moment   0.00 μB/cell

---

AcPm2Pd: relaxed, GGA-PBE.

abc: 9.840 9.840 9.840
angles: 23.95 23.95 23.95
Positions (direct):
Ac: 0.000 0.000 0.000
Pm: 0.557 0.557 0.557
Pm: 0.773 0.773 0.773
Pd: 0.165 0.165 0.165

Energy relative to the elements   -294 meV/atom
Raw total energy   -19.977 eV/cell
Calculated density   7.5 g/cm³
Space group   R3m (160)
Magnetic moment   0.00 μB/cell

---

Ac2Pm3Pd4: relaxed, GGA-PBE.

abc: 7.807 7.863 8.431
angles: 90.00 108.53 90.00
Positions (direct):
Ac: 0.200 0.173 0.094
Ac: 0.200 0.327 0.594
Ac: 0.800 0.673 0.406
Ac: 0.800 0.827 0.906
Pm: 0.244 0.662 0.251
Pm: 0.244 0.838 0.751
Pm: 0.500 0.000 0.500
Pm: 0.500 0.500 0.000
Pm: 0.756 0.162 0.249
Pm: 0.756 0.338 0.749
Pd: 0.094 0.540 0.879
Pd: 0.094 0.960 0.379
Pd: 0.497 0.631 0.622
Pd: 0.497 0.869 0.122
Pd: 0.503 0.131 0.878
Pd: 0.503 0.369 0.378
Pd: 0.906 0.040 0.621
Pd: 0.906 0.460 0.121

Energy relative to the elements   -740 meV/atom
Raw total energy   -99.801 eV/cell
Calculated density   8.9 g/cm³
Space group   P2_1/c (14)
Magnetic moment   0.00 μB/cell

---

AcPmPdRu: relaxed, GGA-PBE.

abc: 5.150 5.150 5.150
angles: 60.00 60.00 60.00
Positions (direct):
Ac: 0.000 0.000 0.000
Pm: 0.500 0.500 0.500
Pd: 0.250 0.250 0.250
Ru: 0.750 0.750 0.750

Energy relative to the elements   -378 meV/atom
Raw total energy   -24.841 eV/cell
Calculated density   10.0 g/cm³
Space group   F-43m (216)
Magnetic moment   0.00 μB/cell

---

Ac2PmSb3Pd6: relaxed, GGA-PBE.

abc: 4.410 4.410 16.809
angles: 90.00 90.00 90.00
Positions (direct):
Ac: 0.000 0.000 0.200
Ac: 0.000 0.000 0.800
Pm: 0.000 0.000 0.500
Sb: 0.500 0.500 0.000
Sb: 0.500 0.500 0.301
Sb: 0.500 0.500 0.699
Pd: 0.000 0.500 0.386
Pd: 0.000 0.500 0.614
Pd: 0.500 0.000 0.386
Pd: 0.500 0.000 0.614
Pd: 0.500 0.500 0.148
Pd: 0.500 0.500 0.852

Energy relative to the elements, uncorrected   -7.0 eV/f.u.
Raw total energy   -63.448 eV/cell
Calculated density   8.1 g/cm³
Space group   P4/mmm (123)
Magnetic moment   0.00 μB/cell

---

AcPmSb2Pd5: relaxed, GGA-PBE.

abc: 4.483 4.483 9.785
angles: 90.00 90.00 90.00
Positions (direct):
Ac: 0.000 0.000 0.000
Pm: 0.000 0.000 0.500
Sb: 0.500 0.500 0.353
Sb: 0.500 0.500 0.647
Pd: 0.000 0.500 0.215
Pd: 0.000 0.500 0.785
Pd: 0.500 0.000 0.215
Pd: 0.500 0.000 0.785
Pd: 0.500 0.500 0.000

Energy relative to the elements, uncorrected   -6.5 eV/f.u.
Raw total energy   -49.600 eV/cell
Calculated density   9.7 g/cm³
Space group   P4/mmm (123)
Magnetic moment   0.00 μB/cell

---

AcPmSb2Pd2: relaxed, GGA-PBE.

abc: 4.662 4.662 8.245
angles: 90.00 90.00 120.00
Positions (direct):
Ac: 0.000 0.000 0.000
Pm: 0.000 0.000 0.500
Sb: 0.333 0.667 0.264
Sb: 0.667 0.333 0.736
Pd: 0.333 0.667 0.727
Pd: 0.667 0.333 0.273

Energy relative to the elements, uncorrected   -6.5 eV/f.u.
Raw total energy   -34.014 eV/cell
Calculated density   8.9 g/cm³
Space group   P-3m1 (164)
Magnetic moment   0.00 μB/cell

---

Ac2PmSb3Pd4: relaxed, GGA-PBE.

abc: 4.658 4.658 11.573
angles: 90.00 90.00 90.00
Positions (direct):
Ac: 0.000 0.500 0.216
Ac: 0.500 0.000 0.784
Pm: 0.000 0.000 0.500
Sb: 0.000 0.500 0.875
Sb: 0.500 0.000 0.125
Sb: 0.500 0.500 0.500
Pd: 0.000 0.000 0.000
Pd: 0.000 0.500 0.647
Pd: 0.500 0.000 0.353
Pd: 0.500 0.500 0.000

Energy relative to the elements, uncorrected   -9.4 eV/f.u.
Raw total energy   -55.473 eV/cell
Calculated density   9.2 g/cm³
Space group   P-4m2 (115)
Magnetic moment   0.00 μB/cell

---

AcPmPdSe3: relaxed, GGA-PBE.

abc: 8.486 4.191 9.313
angles: 90.00 103.18 90.00
Positions (direct):
Ac: 0.184 0.250 0.257
Ac: 0.816 0.750 0.743
Pm: 0.319 0.750 0.822
Pm: 0.681 0.250 0.178
Pd: 0.093 0.250 0.598
Pd: 0.907 0.750 0.402
Se: 0.093 0.250 0.876
Se: 0.247 0.750 0.509
Se: 0.424 0.750 0.157
Se: 0.576 0.250 0.843
Se: 0.753 0.250 0.491
Se: 0.907 0.750 0.124

Energy relative to the elements, uncorrected   -9.8 eV/f.u.
Raw total energy   -68.581 eV/cell
Calculated density   7.4 g/cm³
Space group   P2_1/m (11)
Magnetic moment   0.00 μB/cell

---

AcPmSiPd: relaxed, GGA-PBE.

abc: 5.281 5.281 5.281
angles: 60.00 60.00 60.00
Positions (direct):
Ac: 0.000 0.000 0.000
Pm: 0.500 0.500 0.500
Si: 0.750 0.750 0.750
Pd: 0.250 0.250 0.250

Energy relative to the elements, uncorrected   -2.3 eV/f.u.
Raw total energy   -21.745 eV/cell
Calculated density   8.1 g/cm³
Space group   F-43m (216)
Magnetic moment   0.00 μB/cell

---

Ac2PmSi3Pd12: relaxed, GGA-PBE.

abc: 7.023 7.023 7.023
angles: 84.17 84.17 84.17
Positions (direct):
Ac: 0.134 0.134 0.134
Ac: 0.866 0.866 0.866
Pm: 0.500 0.500 0.500
Si: 0.000 0.500 0.500
Si: 0.500 0.000 0.500
Si: 0.500 0.500 0.000
Pd: 0.140 0.140 0.574
Pd: 0.140 0.574 0.140
Pd: 0.174 0.680 0.680
Pd: 0.320 0.320 0.826
Pd: 0.320 0.826 0.320
Pd: 0.426 0.860 0.860
Pd: 0.574 0.140 0.140
Pd: 0.680 0.174 0.680
Pd: 0.680 0.680 0.174
Pd: 0.826 0.320 0.320
Pd: 0.860 0.426 0.860
Pd: 0.860 0.860 0.426

Energy relative to the elements, uncorrected   -8.8 eV/f.u.
Raw total energy   -100.400 eV/cell
Calculated density   9.5 g/cm³
Space group   R-3m (166)
Magnetic moment   0.00 μB/cell

---

Ac2PmSn4Pd3: relaxed, GGA-PBE.

abc: 4.609 4.609 12.427
angles: 90.00 90.00 90.00
Positions (direct):
Ac: 0.000 0.500 0.229
Ac: 0.500 0.000 0.771
Pm: 0.000 0.000 0.500
Sn: 0.000 0.000 0.000
Sn: 0.000 0.500 0.662
Sn: 0.500 0.000 0.338
Sn: 0.500 0.500 0.000
Pd: 0.000 0.500 0.879
Pd: 0.500 0.000 0.121
Pd: 0.500 0.500 0.500

Energy relative to the elements   -759 meV/atom
Raw total energy   -52.149 eV/cell
Calculated density   8.8 g/cm³
Space group   P-4m2 (115)
Magnetic moment   0.00 μB/cell

---

AcPmTe3Pd: relaxed, GGA-PBE.

abc: 8.853 4.433 10.025
angles: 90.00 101.65 90.00
Positions (direct):
Ac: 0.175 0.250 0.270
Ac: 0.825 0.750 0.730
Pm: 0.324 0.750 0.824
Pm: 0.676 0.250 0.176
Te: 0.092 0.250 0.874
Te: 0.243 0.750 0.517
Te: 0.415 0.750 0.157
Te: 0.585 0.250 0.843
Te: 0.757 0.250 0.483
Te: 0.908 0.750 0.126
Pd: 0.085 0.250 0.597
Pd: 0.915 0.750 0.403

Energy relative to the elements, uncorrected   -7.9 eV/f.u.
Raw total energy   -62.759 eV/cell
Calculated density   7.4 g/cm³
Space group   P2_1/m (11)
Magnetic moment   0.00 μB/cell

---

Ac2PmZn2Pd7: relaxed, GGA-PBE.

abc: 4.264 4.264 13.986
angles: 96.02 96.02 89.25
Positions (direct):
Ac: 0.109 0.109 0.349
Ac: 0.891 0.891 0.651
Pm: 0.000 0.000 0.000
Zn: 0.419 0.419 0.751
Zn: 0.581 0.581 0.249
Pd: 0.048 0.549 0.150
Pd: 0.362 0.362 0.569
Pd: 0.451 0.952 0.850
Pd: 0.500 0.500 0.000
Pd: 0.549 0.048 0.150
Pd: 0.638 0.638 0.431
Pd: 0.952 0.451 0.850

Energy relative to the elements   -704 meV/atom
Raw total energy   -60.311 eV/cell
Calculated density   9.7 g/cm³
Space group   C2/m (12)
Magnetic moment   0.00 μB/cell

---

AcPmZn2Pd5: relaxed, GGA-PBE.

abc: 4.284 4.284 9.549
angles: 90.00 90.00 90.00
Positions (direct):
Ac: 0.000 0.000 0.000
Pm: 0.000 0.000 0.500
Zn: 0.500 0.500 0.372
Zn: 0.500 0.500 0.628
Pd: 0.000 0.500 0.232
Pd: 0.000 0.500 0.768
Pd: 0.500 0.000 0.232
Pd: 0.500 0.000 0.768
Pd: 0.500 0.500 0.000

Energy relative to the elements   -642 meV/atom
Raw total energy   -43.149 eV/cell
Calculated density   9.8 g/cm³
Space group   P4/mmm (123)
Magnetic moment   0.00 μB/cell

---

AcPmZnPd: relaxed, GGA-PBE.

abc: 5.304 5.304 5.304
angles: 60.00 60.00 60.00
Positions (direct):
Ac: 0.000 0.000 0.000
Pm: 0.500 0.500 0.500
Zn: 0.250 0.250 0.250
Pd: 0.750 0.750 0.750

Energy relative to the elements   -462 meV/atom
Raw total energy   -17.174 eV/cell
Calculated density   8.6 g/cm³
Space group   F-43m (216)
Magnetic moment   0.00 μB/cell

---

AcPmZnPd: relaxed, GGA-PBE.

abc: 4.609 5.949 5.949
angles: 41.74 90.00 90.00
Positions (direct):
Ac: 0.000 0.000 0.000
Pm: 0.500 0.283 0.283
Zn: 0.500 0.579 0.579
Pd: 0.000 0.718 0.718

Energy relative to the elements   -506 meV/atom
Raw total energy   -17.350 eV/cell
Calculated density   8.3 g/cm³
Space group   Amm2 (38)
Magnetic moment   0.00 μB/cell

---

AcPr2Pd: relaxed, GGA-PBE.

abc: 11.362 11.362 11.362
angles: 19.77 19.77 19.77
Positions (direct):
Ac: 0.000 0.000 0.000
Pr: 0.111 0.111 0.111
Pr: 0.889 0.889 0.889
Pd: 0.500 0.500 0.500

Energy relative to the elements   -107 meV/atom
Raw total energy   -19.287 eV/cell
Calculated density   7.0 g/cm³
Space group   R-3m (166)
Magnetic moment   0.20 μB/cell